Record 1
# PBE BaErTlCd, optimized geometry
# Formation energy = -0.2190 eV/atom
# Crystal system = cubic
data_BaErTlCd
_symmetry_space_group_name_H-M 'F -4 3 m'
_symmetry_Int_Tables_number 216
_symmetry_space_group_name_Hall 'F -4 2 3'
_cell_length_a 8.031
_cell_length_b 8.031
_cell_length_c 8.031
_cell_angle_alpha 90.00
_cell_angle_beta 90.00
_cell_angle_gamma 90.00
loop_
_atom_site_label
_atom_site_fract_x
_atom_site_fract_y
_atom_site_fract_z
Ba1 0.000 0.000 0.000
Er1 0.000 0.000 0.500
Tl1 0.250 0.250 0.250
Cd1 0.250 0.250 0.750

Record 2
# PBE BaEu3Cd, optimized geometry
# Formation energy = 0.0175 eV/atom
# Crystal system = cubic
data_BaEu3Cd
_symmetry_space_group_name_H-M 'P m -3 m'
_symmetry_Int_Tables_number 221
_symmetry_space_group_name_Hall '-P 4 2 3'
_cell_length_a 6.270
_cell_length_b 6.270
_cell_length_c 6.270
_cell_angle_alpha 90.00
_cell_angle_beta 90.00
_cell_angle_gamma 90.00
loop_
_atom_site_label
_atom_site_fract_x
_atom_site_fract_y
_atom_site_fract_z
Ba1 0.000 0.000 0.000
Eu1 0.000 0.500 0.500
Cd1 0.500 0.500 0.500

Record 3
# PBE BaEuCd2, optimized geometry
# Formation energy = -0.3312 eV/atom
# Offset from the most stable computed form = 0.00 eV per formula unit
# Crystal system = tetragonal
data_BaEuCd2
_symmetry_space_group_name_H-M 'P 4/m m m'
_symmetry_Int_Tables_number 123
_symmetry_space_group_name_Hall '-P 4 2'
_cell_length_a 4.092
_cell_length_b 4.092
_cell_length_c 8.191
_cell_angle_alpha 90.00
_cell_angle_beta 90.00
_cell_angle_gamma 90.00
loop_
_atom_site_label
_atom_site_fract_x
_atom_site_fract_y
_atom_site_fract_z
Ba1 0.000 0.000 0.000
Eu1 0.000 0.000 0.500
Cd1 0.500 0.500 0.279

Record 4
# PBE BaEuCd2, optimized geometry
# Formation energy = -0.3122 eV/atom
# Offset from the most stable computed form = 0.08 eV per formula unit
# Crystal system = cubic
data_BaEuCd2
_symmetry_space_group_name_H-M 'F m -3 m'
_symmetry_Int_Tables_number 225
_symmetry_space_group_name_Hall '-F 4 2 3'
_cell_length_a 8.229
_cell_length_b 8.229
_cell_length_c 8.229
_cell_angle_alpha 90.00
_cell_angle_beta 90.00
_cell_angle_gamma 90.00
loop_
_atom_site_label
_atom_site_fract_x
_atom_site_fract_y
_atom_site_fract_z
Ba1 0.000 0.000 0.000
Eu1 0.000 0.000 0.500
Cd1 0.250 0.250 0.250

Record 5
# PBE BaEuCdGe, optimized geometry
# Formation energy = -0.4221 eV/atom
# Crystal system = cubic
data_BaEuCdGe
_symmetry_space_group_name_H-M 'F -4 3 m'
_symmetry_Int_Tables_number 216
_symmetry_space_group_name_Hall 'F -4 2 3'
_cell_length_a 7.982
_cell_length_b 7.982
_cell_length_c 7.982
_cell_angle_alpha 90.00
_cell_angle_beta 90.00
_cell_angle_gamma 90.00
loop_
_atom_site_label
_atom_site_fract_x
_atom_site_fract_y
_atom_site_fract_z
Ba1 0.000 0.000 0.000
Eu1 0.000 0.000 0.500
Cd1 0.250 0.250 0.750
Ge1 0.250 0.250 0.250

Record 6
# PBE BaEuCdHg, optimized geometry
# Formation energy = -0.4060 eV/atom
# Crystal system = cubic
data_BaEuCdHg
_symmetry_space_group_name_H-M 'F -4 3 m'
_symmetry_Int_Tables_number 216
_symmetry_space_group_name_Hall 'F -4 2 3'
_cell_length_a 8.178
_cell_length_b 8.178
_cell_length_c 8.178
_cell_angle_alpha 90.00
_cell_angle_beta 90.00
_cell_angle_gamma 90.00
loop_
_atom_site_label
_atom_site_fract_x
_atom_site_fract_y
_atom_site_fract_z
Ba1 0.000 0.000 0.000
Eu1 0.000 0.000 0.500
Cd1 0.250 0.250 0.750
Hg1 0.250 0.250 0.250

Record 7
# PBE BaLaEuCd, optimized geometry
# Formation energy = 0.0146 eV/atom
# Crystal system = cubic
data_BaLaEuCd
_symmetry_space_group_name_H-M 'F -4 3 m'
_symmetry_Int_Tables_number 216
_symmetry_space_group_name_Hall 'F -4 2 3'
_cell_length_a 8.448
_cell_length_b 8.448
_cell_length_c 8.448
_cell_angle_alpha 90.00
_cell_angle_beta 90.00
_cell_angle_gamma 90.00
loop_
_atom_site_label
_atom_site_fract_x
_atom_site_fract_y
_atom_site_fract_z
Ba1 0.000 0.000 0.000
La1 0.000 0.000 0.500
Eu1 0.250 0.250 0.250
Cd1 0.250 0.250 0.750

Record 8
# PBE BaEuMgCd, optimized geometry
# Formation energy = -0.1740 eV/atom
# Crystal system = cubic
data_BaEuMgCd
_symmetry_space_group_name_H-M 'F -4 3 m'
_symmetry_Int_Tables_number 216
_symmetry_space_group_name_Hall 'F -4 2 3'
_cell_length_a 8.303
_cell_length_b 8.303
_cell_length_c 8.303
_cell_angle_alpha 90.00
_cell_angle_beta 90.00
_cell_angle_gamma 90.00
loop_
_atom_site_label
_atom_site_fract_x
_atom_site_fract_y
_atom_site_fract_z
Ba1 0.000 0.000 0.000
Eu1 0.000 0.000 0.500
Mg1 0.250 0.250 0.750
Cd1 0.250 0.250 0.250

Repeat the first record exactly.
# PBE BaErTlCd, optimized geometry
# Formation energy = -0.2190 eV/atom
# Crystal system = cubic
data_BaErTlCd
_symmetry_space_group_name_H-M 'F -4 3 m'
_symmetry_Int_Tables_number 216
_symmetry_space_group_name_Hall 'F -4 2 3'
_cell_length_a 8.031
_cell_length_b 8.031
_cell_length_c 8.031
_cell_angle_alpha 90.00
_cell_angle_beta 90.00
_cell_angle_gamma 90.00
loop_
_atom_site_label
_atom_site_fract_x
_atom_site_fract_y
_atom_site_fract_z
Ba1 0.000 0.000 0.000
Er1 0.000 0.000 0.500
Tl1 0.250 0.250 0.250
Cd1 0.250 0.250 0.750